Entry 1:
CuTcSbAs PBE-GGA optimized geometry; SG = F-43m, No. 216; relative energy among the computed polymorphs = 297 meV per atom
1.0
0.000 3.242 3.242
3.242 0.000 3.242
3.242 3.242 0.000
As Cu Sb Tc
1 1 1 1
Direct
0.250 0.250 0.250
0.750 0.750 0.750
0.000 0.000 0.000
0.500 0.500 0.500

Entry 2:
CuTcSbAs PBE-GGA optimized geometry; SG = F-43m, No. 216; relative energy among the computed polymorphs = 0 meV per atom
1.0
-0.441 -3.952 2.215
-2.816 -0.311 3.562
-3.859 -2.387 -0.351
As Cu Sb Tc
1 1 1 1
Direct
0.500 0.500 0.500
0.750 0.750 0.750
0.000 0.000 0.000
0.250 0.250 0.250

Entry 3:
YCuSbAs PBE-GGA optimized geometry; SG = P4/nmm, No. 129; VASP energy = -5.405 eV per atom
1.0
4.089 0.000 0.000
0.000 4.089 0.000
0.000 0.000 10.077
As Cu Sb Y
2 2 2 2
Direct
0.000 0.000 0.000
0.500 0.500 0.000
0.000 0.000 0.500
0.500 0.500 0.500
0.500 0.000 0.332
0.000 0.500 0.668
0.000 0.500 0.225
0.500 0.000 0.775

Entry 4:
Sc2CuAs PBE-GGA optimized geometry; SG = F-43m, No. 216; VASP energy = -5.253 eV per atom
1.0
0.851 3.044 3.477
-3.379 2.934 1.434
-2.014 -0.610 4.202
As Cu Sc
1 1 2
Direct
0.500 0.500 0.500
0.250 0.250 0.250
0.000 0.000 0.000
0.750 0.750 0.750

Entry 5:
ScCu5As2 PBE-GGA optimized geometry; SG = P4/mmm, No. 123; VASP energy = -4.372 eV per atom
1.0
-3.548 1.914 0.521
-1.958 -3.550 -0.297
0.529 -0.859 6.761
As Cu Sc
2 5 1
Direct
0.000 0.000 0.000
0.500 0.500 0.500
0.500 0.000 0.279
0.000 0.500 0.279
0.000 0.000 0.500
0.500 0.000 0.721
0.000 0.500 0.721
0.500 0.500 0.000

Entry 6:
ScCu5As2 PBE-GGA optimized geometry; SG = P4/mmm, No. 123; VASP energy = -4.372 eV per atom
1.0
-3.068 -2.382 1.193
2.428 -1.750 2.749
-1.847 4.694 4.620
As Cu Sc
2 5 1
Direct
0.000 0.000 0.000
0.500 0.500 0.500
0.500 0.500 0.000
0.500 0.000 0.221
0.000 0.500 0.221
0.500 0.000 0.779
0.000 0.500 0.779
0.000 0.000 0.500

Entry 7:
ScCuAs2 PBE-GGA optimized geometry; SG = F-43m, No. 216; VASP energy = -4.965 eV per atom
1.0
-4.202 0.830 1.828
-3.487 1.435 -2.734
-3.553 -2.861 -0.937
As Cu Sc
2 1 1
Direct
0.000 0.000 0.000
0.750 0.750 0.750
0.250 0.250 0.250
0.500 0.500 0.500

Entry 8:
ScTaCuAs PBE-GGA optimized geometry; SG = F-43m, No. 216; relative energy among the computed polymorphs = 0 meV per atom
1.0
3.457 -2.967 0.335
1.436 -1.378 4.111
-0.791 -4.282 1.378
As Cu Sc Ta
1 1 1 1
Direct
0.000 0.000 0.000
0.750 0.750 0.750
0.500 0.500 0.500
0.250 0.250 0.250

Entry 9:
TbScCu2As4 PBE-GGA optimized geometry; SG = P4mm, No. 99; VASP energy = -5.388 eV per atom
1.0
3.862 0.000 0.000
0.000 3.862 0.000
0.000 0.000 9.653
As Cu Sc Tb
4 2 1 1
Direct
0.500 0.500 0.340
0.000 0.000 0.671
0.500 0.000 0.990
0.000 0.500 0.990
0.500 0.000 0.506
0.000 0.500 0.506
0.500 0.500 0.764
0.000 0.000 0.233

Entry 10:
ScCuAsW PBE-GGA optimized geometry; SG = F-43m, No. 216; relative energy among the computed polymorphs = 0 meV per atom
1.0
-4.039 -1.944 0.086
-2.209 -0.408 3.880
-3.662 2.472 0.766
As Cu Sc W
1 1 1 1
Direct
0.000 0.000 0.000
0.750 0.750 0.750
0.500 0.500 0.500
0.250 0.250 0.250

Entry 11:
YScCu2As4 PBE-GGA optimized geometry; SG = P4mm, No. 99; VASP energy = -5.615 eV per atom
1.0
-3.547 1.263 -0.849
0.323 -1.478 -3.551
-3.723 -8.345 3.134
As Cu Sc Y
4 2 1 1
Direct
0.000 0.000 0.339
0.500 0.500 0.672
0.500 0.000 0.990
0.000 0.500 0.990
0.500 0.000 0.506
0.000 0.500 0.506
0.000 0.000 0.764
0.500 0.500 0.233

Entry 12:
ZrScCuAs PBE-GGA optimized geometry; SG = F-43m, No. 216; relative energy among the computed polymorphs = 0 meV per atom
1.0
0.000 3.311 3.311
3.311 0.000 3.311
3.311 3.311 0.000
As Cu Sc Zr
1 1 1 1
Direct
0.000 0.000 0.000
0.750 0.750 0.750
0.500 0.500 0.500
0.250 0.250 0.250

| no. | V (Å³/cell) |
| --- | --- |
| 1 | 68.18 |
| 2 | 66.67 |
| 3 | 168.50 |
| 4 | 73.37 |
| 5 | 112.95 |
| 6 | 112.95 |
| 7 | 71.42 |
| 8 | 67.39 |
| 9 | 144.00 |
| 10 | 63.74 |
| 11 | 143.91 |
| 12 | 72.59 |